Entry from Alexandria via LeMat-Bulk: a relaxed AlGa2B crystal (PBE).

abc: 6.2741 6.2741 6.2741
angles: 90.00 90.00 90.00
With the nearest neighbours (Å) after each atom.
Space group Fm-3m (No. 225)
Inequivalent atoms, fractional coordinates:
Al  0.0000  0.0000  0.0000 (multiplicity 4)  8 Ga 2.72
Ga  0.2500  0.2500  0.2500 (multiplicity 8)  4 Al 2.72, 4 B 2.72
B  0.0000  0.0000  0.5000 (multiplicity 4)  8 Ga 2.72

Properties
energy of formation = 792 meV per atom
ΔE to the lowest computed polymorph = 0.2897 eV/atom


Entry from Alexandria via LeMat-Bulk: a relaxed Ac7Si2Pb3 crystal (PBE).

abc: 5.9622 28.2204 5.7840
angles: 90.00 90.00 90.00
With the nearest neighbours (Å) after each atom.
Space group Cmmm (No. 65)
Inequivalent atoms, fractional coordinates:
Ac  0.0000  0.0000  0.0000 (multiplicity 2)  2 Si 3.01
Ac  0.0000  0.0994  0.5000 (multiplicity 4)  2 Si 2.90
Ac  0.0000  0.2113  0.0000 (multiplicity 4)  1 Si 2.95
Ac  0.0000  0.3910  0.0000 (multiplicity 4)  2 Si 2.98
Si  0.0000  0.1066  0.0000 (multiplicity 4)  6 Ac 2.90-3.01
Pb  0.0000  0.3115  0.5000 (multiplicity 4)  6 Ac 3.66-4.05
Pb  0.0000  0.5000  0.5000 (multiplicity 2)  12 Ac 4.09-4.22

Properties
uncorrected formation energy = -0.245 eV per atom


Entry from Alexandria via LeMat-Bulk: a relaxed K2AcZrS4 crystal (PBE).

abc: 7.1756 4.0680 7.7865
angles: 90.00 107.26 90.00
With the nearest neighbours (Å) after each atom.
Space group P2/m (No. 10)
Inequivalent atoms, fractional coordinates:
K  0.0000  0.0000  0.0000 (multiplicity 1)  6 S 3.33-3.37
K  0.5000  0.5000  0.0000 (multiplicity 1)  6 S 3.11-3.13
Ac  0.0000  0.5000  0.5000 (multiplicity 1)  6 S 2.95-2.96
Zr  0.5000  0.0000  0.5000 (multiplicity 1)  6 S 2.66-2.72
S  0.2703  0.0000  0.7124 (multiplicity 2)  1 Zr 2.66, 2 Ac 2.95
S  0.2927  0.5000  0.3010 (multiplicity 2)  2 Zr 2.72, 1 Ac 2.96

Properties
uncorrected formation energy = -1.613 eV per atom


Entry from Alexandria via LeMat-Bulk: a relaxed Ta2TlPb crystal (PBE).

abc: 4.3430 4.3430 9.0230
angles: 90.00 90.00 90.00
With the nearest neighbours (Å) after each atom.
Space group I4/mmm (No. 139)
Inequivalent atoms, fractional coordinates:
Ta  0.0000  0.5000  0.2500 (multiplicity 4)  4 Ta 3.07, 4 Tl 3.13, 4 Pb 3.13
Tl  0.0000  0.0000  0.0000 (multiplicity 2)  4 Pb 3.07, 8 Ta 3.13
Pb  0.0000  0.0000  0.5000 (multiplicity 2)  4 Tl 3.07, 8 Ta 3.13

Properties
energy of formation = 770 meV per atom
ΔE to the lowest computed polymorph = 0.4115 eV/atom